# PBE PuUBiN2, relaxed
# formation energy without anion corrections	-1.137	eV per atom
data_PuUBiN2
_chemical_formula_sum 'Pu2 U2 Bi2 N4'
_space_group_name_H-M_alt 'I 4 m m'
_space_group_IT_number 107
_space_group_name_Hall 'I 4 -2'
_cell_length_a 3.899
_cell_length_b 3.899
_cell_length_c 12.887
_cell_angle_alpha 90.00
_cell_angle_beta 90.00
_cell_angle_gamma 90.00
loop_
_atom_site_label
_atom_site_type_symbol
_atom_site_fract_x
_atom_site_fract_y
_atom_site_fract_z
_atom_site_occupancy
Pu1 Pu 0.000 0.000 0.000 1
U1 U 0.000 0.000 0.328 1
Bi1 Bi 0.000 0.000 0.663 1
N1 N 0.000 0.500 0.404 1